A relaxed KTlOs2 crystal. Source: Alexandria, functional PBE.

```
KTlOs2
1.0
3.2540 -3.4884 -0.5627
0.8372 -3.1023 3.5706
-1.4236 -4.5698 -0.4055
Tl Os K
1 2 1
Direct
0.5000 0.5000 0.5000
0.2500 0.2500 0.2500
0.7500 0.7500 0.7500
0.0000 0.0000 0.0000
```

Values from the calculation:
DFT formation energy	1.989	eV/atom
final energy	-4.49	eV/atom
E above lowest polymorph	1399.5	meV per atom

***

A relaxed KTlOs2 crystal. Source: Alexandria, functional PBE.

```
KTlOs2
1.0
-1.7190 -2.3261 0.7910
1.3650 -1.7069 -2.0530
6.5093 -2.6030 6.4921
K Os Tl
1 2 1
Direct
0.5000 0.5000 0.7709
0.0000 0.0000 0.0618
0.5000 0.5000 0.2109
0.0000 0.0000 0.4563
```

Values from the calculation:
DFT formation energy	0.658	eV/atom
final energy	-5.82	eV/atom
E above lowest polymorph	68.4	meV per atom

***

A relaxed KTl2Os2 crystal. Source: Alexandria, functional PBE.

```
KTl2Os2
1.0
8.6503 0.0000 0.0000
0.0000 8.6503 0.0000
0.0000 0.0000 2.9648
Tl Os K
4 4 2
Direct
0.1889 0.6889 0.5000
0.6889 0.8111 0.5000
0.8111 0.3111 0.5000
0.3111 0.1889 0.5000
0.4031 0.9031 0.0000
0.9031 0.5969 0.0000
0.5969 0.0969 0.0000
0.0969 0.4031 0.0000
0.0000 0.0000 0.0000
0.5000 0.5000 0.0000
```

Values from the calculation:
DFT formation energy	0.851	eV/atom
final energy	-4.81	eV/atom
E above lowest polymorph	288.5	meV per atom

***

A relaxed KTlOs2 crystal. Source: Alexandria, functional PBE.

```
KTlOs2
1.0
-4.7663 2.2984 2.7837
0.0487 -0.8993 -5.9108
-0.9668 -2.4460 0.3642
K Os Tl
1 2 1
Direct
0.0000 0.5000 0.5000
0.0000 0.0000 0.0000
0.5000 0.5000 0.0000
0.5000 0.0000 0.5000
```

Values from the calculation:
DFT formation energy	1.543	eV/atom
final energy	-4.94	eV/atom
E above lowest polymorph	952.5	meV per atom

***

A relaxed K4TlOs crystal. Source: Alexandria, functional PBE.

```
K4TlOs
1.0
0.0000 4.7945 4.7945
4.7945 0.0000 4.7945
4.7945 4.7945 0.0000
K Tl Os
4 1 1
Direct
0.8726 0.3758 0.3758
0.3758 0.3758 0.8726
0.3758 0.8726 0.3758
0.3758 0.3758 0.3758
0.0000 0.0000 0.0000
0.7500 0.7500 0.7500
```

Values from the calculation:
DFT formation energy	1.178	eV/atom
final energy	-1.82	eV/atom

***

A relaxed KTlOs2 crystal. Source: Alexandria, functional PBE.

```
KTlOs2
1.0
-1.7755 -1.8770 0.9523
1.9413 -0.9790 1.6898
-3.1487 6.8174 7.5669
K Os Tl
1 2 1
Direct
0.5000 0.5000 0.7500
0.0000 0.0000 0.0153
0.0000 0.0000 0.4847
0.5000 0.5000 0.2500
```

Values from the calculation:
DFT formation energy	1.500	eV/atom
final energy	-4.98	eV/atom
E above lowest polymorph	910.3	meV per atom

***

A relaxed KTlOs2 crystal. Source: Alexandria, functional PBE.

```
KTlOs2
1.0
-4.2706 2.5512 3.8719
4.6116 -3.9605 1.6691
1.5722 1.6111 1.5768
K Os Tl
1 2 1
Direct
0.0000 0.5000 0.5000
0.0000 0.0000 0.0000
0.5000 0.5000 0.0000
0.5000 0.0000 0.5000
```

Values from the calculation:
DFT formation energy	1.422	eV/atom
final energy	-5.06	eV/atom
E above lowest polymorph	831.8	meV per atom

***

A relaxed KTlOs2 crystal. Source: Alexandria, functional PBE.

```
KTlOs2
1.0
5.1097 0.0000 0.0000
0.0000 3.9626 0.0000
0.0000 0.0000 3.9626
K Os Tl
1 2 1
Direct
0.5000 0.0000 0.5000
0.0000 0.0000 0.0000
0.0000 0.5000 0.5000
0.5000 0.5000 0.0000
```

Values from the calculation:
DFT formation energy	1.638	eV/atom
final energy	-4.84	eV/atom
E above lowest polymorph	1048.0	meV per atom

***

A relaxed KTlOs2 crystal. Source: Alexandria, functional PBE.

```
KTlOs2
1.0
10.4882 -0.1572 -0.0917
10.1190 2.7629 -0.0917
10.1190 1.2795 2.4504
K Os Tl
1 2 1
Direct
0.7500 0.7500 0.7500
0.9905 0.9905 0.9905
0.5095 0.5095 0.5095
0.2500 0.2500 0.2500
```

Values from the calculation:
DFT formation energy	1.336	eV/atom
final energy	-5.15	eV/atom
E above lowest polymorph	745.7	meV per atom

***

A relaxed KTlOs3 crystal. Source: Alexandria, functional PBE.

```
KTlOs3
1.0
-1.6798 -0.5182 4.4693
1.2945 -4.6246 -0.0496
4.3090 1.1873 1.7572
Tl Os K
1 3 1
Direct
0.5000 0.5000 0.5000
0.0000 0.5000 0.0000
0.0000 0.0000 0.5000
0.5000 0.0000 0.0000
0.0000 0.0000 0.0000
```

Values from the calculation:
DFT formation energy	3.731	eV/atom
final energy	-3.70	eV/atom
E above lowest polymorph	827.2	meV per atom

***

A relaxed KTlOs4 crystal. Source: Alexandria, functional PBE.

```
KTlOs4
1.0
0.0000 3.7996 3.7996
3.7996 0.0000 3.7996
3.7996 3.7996 0.0000
K Tl Os
1 1 4
Direct
0.0000 0.0000 0.0000
0.7500 0.7500 0.7500
0.8740 0.3753 0.3753
0.3753 0.3753 0.8740
0.3753 0.8740 0.3753
0.3753 0.3753 0.3753
```

Values from the calculation:
DFT formation energy	1.121	eV/atom
final energy	-6.94	eV/atom

***

A relaxed KTlOs2 crystal. Source: Alexandria, functional PBE.

```
KTlOs2
1.0
2.7904 -0.0266 0.0000
-1.2594 2.4902 0.0000
0.0000 0.0000 11.4420
K Os Tl
1 2 1
Direct
0.5000 0.5000 0.7500
0.0000 0.0000 0.0035
0.0000 0.0000 0.4965
0.5000 0.5000 0.2500
```

Values from the calculation:
DFT formation energy	1.388	eV/atom
final energy	-5.09	eV/atom
E above lowest polymorph	798.4	meV per atom

***

A relaxed KTlOs2 crystal. Source: Alexandria, functional PBE.

```
KTlOs2
1.0
-1.7700 1.1220 1.9085
1.7389 -3.2193 3.5053
3.8365 3.6256 1.4266
K Os Tl
1 2 1
Direct
0.0000 0.5000 0.5000
0.0000 0.0000 0.0000
0.5000 0.5000 0.0000
0.5000 0.0000 0.5000
```

Values from the calculation:
DFT formation energy	1.466	eV/atom
final energy	-5.01	eV/atom
E above lowest polymorph	876.3	meV per atom

***

A relaxed KTlOs2 crystal. Source: Alexandria, functional PBE.

```
KTlOs2
1.0
5.9580 0.0910 0.0000
3.2876 4.9696 0.0000
-4.6228 -2.5303 2.7808
K Os Tl
1 2 1
Direct
0.7500 0.2500 0.5000
0.0000 0.0000 0.0000
0.5000 0.5000 0.0000
0.2500 0.7500 0.5000
```

Values from the calculation:
DFT formation energy	1.655	eV/atom
final energy	-4.83	eV/atom
E above lowest polymorph	1065.2	meV per atom

***

A relaxed KTlOs2 crystal. Source: Alexandria, functional PBE.

```
KTlOs2
1.0
4.4214 0.0000 0.0000
0.0000 4.4214 0.0000
2.2107 2.2107 10.1926
Tl Os K
2 4 2
Direct
0.0000 0.0000 0.0000
0.7500 0.2500 0.5000
0.7597 0.1250 0.2500
0.9903 0.6250 0.2500
0.3750 0.2403 0.7500
0.8750 0.0097 0.7500
0.5000 0.5000 0.0000
0.2500 0.7500 0.5000
```

Values from the calculation:
DFT formation energy	1.275	eV/atom
final energy	-5.21	eV/atom
E above lowest polymorph	684.8	meV per atom

***

A relaxed KTlOs2 crystal. Source: Alexandria, functional PBE.

```
KTlOs2
1.0
-1.1511 4.3562 -1.5395
-4.6061 -1.2062 0.0117
2.6106 -0.5207 3.9478
K Os Tl
1 2 1
Direct
0.7500 0.2500 0.5000
0.0000 0.0000 0.0000
0.2500 0.7500 0.5000
0.5000 0.5000 0.0000
```

Values from the calculation:
DFT formation energy	1.502	eV/atom
final energy	-4.98	eV/atom
E above lowest polymorph	911.7	meV per atom

***

A relaxed KTlOs2 crystal. Source: Alexandria, functional PBE.

```
KTlOs2
1.0
-0.0209 -6.3151 2.7166
2.7461 -1.7918 6.0423
-4.2962 4.2295 -3.3038
K Os Tl
1 2 1
Direct
0.2167 0.7167 0.5000
0.9473 0.9473 0.0000
0.8504 0.3504 0.5000
0.4856 0.4856 0.0000
```

Values from the calculation:
DFT formation energy	1.094	eV/atom
final energy	-5.39	eV/atom
E above lowest polymorph	503.7	meV per atom

***

A relaxed K2Tl2Os crystal. Source: Alexandria, functional PBE.

```
K2Tl2Os
1.0
-5.5414 -4.8664 4.4898
-4.9603 0.1573 7.0652
3.0994 3.3896 -7.3110
K Tl Os
2 2 1
Direct
0.2500 0.7500 0.5000
0.7500 0.2500 0.5000
0.5871 0.5871 0.0000
0.4129 0.4129 0.0000
0.0000 0.0000 0.0000
```

Values from the calculation:
DFT formation energy	1.191	eV/atom
final energy	-2.44	eV/atom

***

A relaxed KTlOs3 crystal. Source: Alexandria, functional PBE.

```
KTlOs3
1.0
-3.1538 4.0081 0.6417
-4.0500 -3.0529 -0.8366
-0.2712 -1.0188 5.0310
Tl Os K
1 3 1
Direct
0.0000 0.0000 0.0000
0.0000 0.5000 0.0000
0.0000 0.0000 0.5000
0.5000 0.0000 0.0000
0.5000 0.5000 0.5000
```

Values from the calculation:
DFT formation energy	2.904	eV/atom
final energy	-4.53	eV/atom
E above lowest polymorph	0.0	meV per atom

***

A relaxed KTl2Os2 crystal. Source: Alexandria, functional PBE.

```
KTl2Os2
1.0
-2.1779 2.6957 -1.0337
0.2011 -1.1501 -3.4228
-8.8568 -5.0157 -0.7457
Tl Os K
2 2 1
Direct
0.3693 0.3693 0.2614
0.6307 0.6307 0.7386
0.7500 0.2500 0.5000
0.2500 0.7500 0.5000
0.0000 0.0000 0.0000
```

Values from the calculation:
DFT formation energy	0.563	eV/atom
final energy	-5.10	eV/atom
E above lowest polymorph	0.0	meV per atom

***

A relaxed KTlOs2 crystal. Source: Alexandria, functional PBE.

```
KTlOs2
1.0
-1.9041 5.0771 1.1087
-1.9089 -1.0667 1.6063
3.6766 0.3476 4.7222
K Os Tl
1 2 1
Direct
0.5000 0.7500 0.7500
0.0000 0.2427 0.9417
0.0000 0.2573 0.5583
0.5000 0.2500 0.2500
```

Values from the calculation:
DFT formation energy	1.289	eV/atom
final energy	-5.19	eV/atom
E above lowest polymorph	699.3	meV per atom

***

A relaxed KTlOs2 crystal. Source: Alexandria, functional PBE.

```
KTlOs2
1.0
-0.1265 -2.4455 -1.3452
0.3163 -2.3720 4.2823
-6.8759 0.0584 0.5403
K Os Tl
1 2 1
Direct
0.5000 0.5000 0.7500
0.0000 0.0000 0.0834
0.0000 0.0000 0.4166
0.5000 0.5000 0.2500
```

Values from the calculation:
DFT formation energy	1.272	eV/atom
final energy	-5.21	eV/atom
E above lowest polymorph	681.9	meV per atom

***

A relaxed KTl2Os2 crystal. Source: Alexandria, functional PBE.

```
KTl2Os2
1.0
-2.3024 4.0251 -2.0439
-3.6695 -0.3323 3.4791
-0.4999 4.7403 3.6161
Tl Os K
2 2 1
Direct
0.7500 0.2500 0.5000
0.2500 0.7500 0.5000
0.3812 0.3812 0.2376
0.6188 0.6188 0.7624
0.0000 0.0000 0.0000
```

Values from the calculation:
DFT formation energy	0.802	eV/atom
final energy	-4.86	eV/atom
E above lowest polymorph	239.1	meV per atom

***

A relaxed KTlOs2 crystal. Source: Alexandria, functional PBE.

```
KTlOs2
1.0
3.8134 0.0000 0.0000
0.0000 2.8288 0.1049
0.0000 2.5180 8.6739
K Os Tl
1 2 1
Direct
0.5000 0.7236 0.7770
0.0000 0.9166 0.0833
0.5000 0.3038 0.1957
0.0000 0.5560 0.4440
```

Values from the calculation:
DFT formation energy	0.590	eV/atom
final energy	-5.89	eV/atom
E above lowest polymorph	0.0	meV per atom

***

A relaxed KYTl2Os crystal. Source: Alexandria, functional PBE.

```
KYTl2Os
1.0
5.7910 0.0000 0.0000
0.0000 6.2855 0.0000
0.0000 0.0000 5.7910
Y Tl Os K
1 2 1 1
Direct
0.0000 0.0000 0.0000
0.0000 0.0000 0.5000
0.5000 0.0000 0.0000
0.5000 0.5000 0.5000
0.0000 0.5000 0.0000
```

Values from the calculation:
DFT formation energy	1.874	eV/atom
final energy	-2.83	eV/atom

***

A relaxed KV2Os2 crystal. Source: Alexandria, functional PBE.

```
KV2Os2
1.0
7.8761 0.0000 0.0000
0.0000 7.8761 0.0000
0.0000 0.0000 2.7150
K Os V
2 4 4
Direct
0.0000 0.0000 0.0000
0.5000 0.5000 0.0000
0.1437 0.6437 0.5000
0.6437 0.8563 0.5000
0.8563 0.3563 0.5000
0.3563 0.1437 0.5000
0.3602 0.8602 0.0000
0.8602 0.6398 0.0000
0.6398 0.1398 0.0000
0.1398 0.3602 0.0000
```

Values from the calculation:
DFT formation energy	0.433	eV/atom
final energy	-7.93	eV/atom
E above lowest polymorph	0.0	meV per atom

***

A relaxed K3VOs crystal. Source: Alexandria, functional PBE.

```
K3VOs
1.0
6.2141 0.0000 0.0000
0.0000 6.2141 0.0000
0.0000 0.0000 6.2141
K Os V
3 1 1
Direct
0.0000 0.5000 0.0000
0.0000 0.0000 0.5000
0.5000 0.0000 0.0000
0.0000 0.0000 0.0000
0.5000 0.5000 0.5000
```

Values from the calculation:
DFT formation energy	1.876	eV/atom
final energy	-2.85	eV/atom

***

A relaxed KVOs2 crystal. Source: Alexandria, functional PBE.

```
KVOs2
1.0
-0.7724 -2.6655 3.5465
-3.1701 -3.1903 -0.2291
1.1825 -4.3428 -0.1474
K Os V
1 2 1
Direct
0.0000 0.0000 0.0000
0.2500 0.2500 0.2500
0.7500 0.7500 0.7500
0.5000 0.5000 0.5000
```

Values from the calculation:
DFT formation energy	1.449	eV/atom
final energy	-6.72	eV/atom
E above lowest polymorph	24.3	meV per atom

***

A relaxed KV2Os4 crystal. Source: Alexandria, functional PBE.

```
KV2Os4
1.0
4.5364 0.0000 0.0000
0.0000 4.5364 0.0000
2.2682 2.2682 6.4461
K Os V
1 4 2
Direct
0.0000 0.0000 0.0000
0.7785 0.7785 0.4430
0.2215 0.2215 0.5570
0.0000 0.5000 0.0000
0.5000 0.0000 0.0000
0.6123 0.6123 0.7753
0.3877 0.3877 0.2247
```

Values from the calculation:
DFT formation energy	2.557	eV/atom
final energy	-6.62	eV/atom